1.
A plane-wave DFT calculation with PBE was carried out for a geometry-optimized Na2MgInAu structure.

Cell lengths 5.6321, 5.2475, 5.6321 Å; angles 90.00, 90.00, 90.00 degrees
Atoms (fractional coordinates):
Na  0.5000  0.0000  0.0000
In  0.0000  0.5000  0.0000
Au  0.5000  0.5000  0.5000
Mg  0.0000  0.0000  0.0000
Na  0.0000  0.0000  0.5000

Computed properties:
- E_tot: -1.61 eV/atom
- D(E_F): 2.54 states/eV/f.u.
- ΔE_f: 214 kJ/mol of formula units


2.
A plane-wave DFT calculation with PBE was carried out for a geometry-optimized BaFeB2 structure.

Cell lengths 5.2220, 5.2220, 6.5222 Å; angles 66.40, 66.40, 90.00 degrees
Atoms (fractional coordinates):
Fe  0.5000  0.5000  0.0000
B  0.3753  0.6250  0.2500
B  0.8750  0.6247  0.7500
B  0.3750  0.6253  0.7500
Ba  0.0000  0.0000  0.0000
Fe  0.2500  0.7500  0.5000
Ba  0.7500  0.2500  0.5000
B  0.3747  0.1250  0.2500

Computed properties:
- E_tot: -5.73 eV/atom
- D(E_F): 1.99 states/eV/f.u.
- ΔE_f: 80 kJ/mol of formula units
- Polymorph energy (0 for the lowest one): 0 meV/atom


3.
A plane-wave DFT calculation with PBE was carried out for a geometry-optimized MgCu2Tc structure.

Cell lengths 4.7466, 4.7466, 4.7466 Å; angles 132.93, 132.93, 68.76 degrees
Site moments in Bohr magnetons follow the coordinates.
Atoms (fractional coordinates):
Cu  0.2500  0.7500  0.5000  0.03
Cu  0.0000  0.0000  0.0000  0.11
Tc  0.7500  0.2500  0.5000  0.66
Mg  0.5000  0.5000  0.0000  0.00

Computed properties:
- E_tot: -4.73 eV/atom
- D(E_F): 4.75 states/eV/f.u.
- ΔE_f: 120 kJ/mol of formula units


4.
A plane-wave DFT calculation with PBE was carried out for a geometry-optimized YCo5As3 structure.

Cell lengths 3.7099, 6.2182, 11.6969 Å; angles 90.00, 90.00, 107.36 degrees
Atoms (fractional coordinates):
As  0.6195  0.2389  0.0447
Co  0.5524  0.1049  0.6423
Co  0.1948  0.3897  0.9300
Co  0.1948  0.3897  0.5700
Co  0.5524  0.1049  0.8577
Co  0.8052  0.6103  0.4300
Co  0.0000  0.0000  0.5000
As  0.3805  0.7611  0.5447
Y  0.8418  0.6835  0.7500
Y  0.1582  0.3165  0.2500
As  0.8907  0.7814  0.2500
As  0.6195  0.2389  0.4553
As  0.1093  0.2186  0.7500
Co  0.8052  0.6103  0.0700
Co  0.0000  0.0000  0.0000
Co  0.4476  0.8951  0.3577
Co  0.4476  0.8951  0.1423
As  0.3805  0.7611  0.9553

Computed properties:
- E_tot: -6.66 eV/atom
- D(E_F): 8.61 states/eV/f.u.
- ΔE_f: -383 kJ/mol of formula units


5.
A plane-wave DFT calculation with PBE was carried out for a geometry-optimized Y2SO2 structure.

Cell lengths 3.7777, 4.2296, 6.7990 Å; angles 108.12, 106.13, 90.00 degrees
Atoms (fractional coordinates):
O  0.7293  0.7293  0.4585
Y  0.3353  0.8353  0.6706
Y  0.6647  0.1647  0.3294
O  0.2707  0.2707  0.5415
S  0.0000  0.0000  0.0000

Computed properties:
- E_tot: -8.51 eV/atom
- D(E_F): 0.00 states/eV/f.u.
- ΔE_f (raw): -15.57 eV per formula unit


6.
A plane-wave DFT calculation with PBE was carried out for a geometry-optimized BPbF4 structure.

Cell lengths 6.5102, 6.5102, 6.5102 Å; angles 108.09, 108.09, 112.26 degrees
Site moments in Bohr magnetons follow the coordinates.
Atoms (fractional coordinates):
Pb  0.7500  0.2500  0.5000  0.35
F  0.1346  0.7843  0.6496  0.02
F  0.1346  0.4850  0.3504  0.02
B  0.5000  0.5000  0.0000  0.01
F  0.2157  0.8654  0.3504  0.02
B  0.2500  0.7500  0.5000  0.01
F  0.6154  0.7650  0.1496  0.02
F  0.2350  0.3846  0.8504  0.02
F  0.5150  0.8654  0.6496  0.02
F  0.6154  0.4657  0.8504  0.02
Pb  0.0000  0.0000  0.0000  0.35
F  0.5343  0.3846  0.1496  0.02

Computed properties:
- E_tot: -5.30 eV/atom
- D(E_F): 1.17 states/eV/f.u.
- ΔE_f (raw): -13.91 eV per formula unit
- Polymorph energy (0 for the lowest one): 115 meV/atom


7.
A plane-wave DFT calculation with PBE was carried out for a geometry-optimized CaAlNF2 structure.

Cell lengths 3.8622, 3.8622, 3.8039 Å; angles 90.00, 90.00, 90.00 degrees
Atoms (fractional coordinates):
F  0.0000  0.5000  0.0000
N  0.0000  0.0000  0.5000
F  0.5000  0.0000  0.0000
Ca  0.5000  0.5000  0.5000
Al  0.0000  0.0000  0.0000

Computed properties:
- E_tot: -5.88 eV/atom
- D(E_F): 0.00 states/eV/f.u.
- ΔE_f (raw): -11.59 eV per formula unit
- Polymorph energy (0 for the lowest one): 0 meV/atom


8.
A plane-wave DFT calculation with PBE was carried out for a geometry-optimized AcTb8Er4 structure.

Cell lengths 6.1633, 6.1633, 12.6633 Å; angles 106.55, 91.69, 110.74 degrees
Atoms (fractional coordinates):
Tb  0.6505  0.9151  0.5655
Ac  0.0000  0.5000  0.5000
Er  0.2571  0.2571  0.0000
Tb  0.1749  0.0672  0.7137
Tb  0.3495  0.0849  0.4345
Tb  0.3535  0.4612  0.2863
Tb  0.8078  0.3454  0.1533
Tb  0.8251  0.9328  0.2863
Er  0.7167  0.1421  0.8588
Er  0.7429  0.7429  0.0000
Er  0.2833  0.8579  0.1412
Tb  0.6465  0.5388  0.7137
Tb  0.1922  0.6546  0.8467

Computed properties:
- E_tot: -4.47 eV/atom
- D(E_F): 19.30 states/eV/f.u.
- ΔE_f: 129 kJ/mol of formula units


9.
A plane-wave DFT calculation with PBE was carried out for a geometry-optimized KAg2Mo structure.

Cell lengths 5.4548, 2.7542, 5.5090 Å; angles 89.97, 90.00, 90.00 degrees
Site moments in Bohr magnetons follow the coordinates.
Atoms (fractional coordinates):
Ag  0.5000  0.1252  0.3399  0.02
Ag  0.0000  0.1248  0.9004  0.02
Mo  0.5000  0.6250  0.8554  1.01
K  0.0000  0.6250  0.4043  0.00

Computed properties:
- E_tot: -3.68 eV/atom
- D(E_F): 2.53 states/eV/f.u.
- ΔE_f: 281 kJ/mol of formula units
- Polymorph energy (0 for the lowest one): 114 meV/atom


10.
A plane-wave DFT calculation with PBE was carried out for a geometry-optimized TaAg3 structure.

Cell lengths 5.0295, 9.7979, 5.8364 Å; angles 90.00, 90.00, 90.00 degrees
Atoms (fractional coordinates):
Ag  0.4330  0.2500  0.6432
Ag  0.5670  0.7500  0.3568
Ta  0.5447  0.7500  0.8402
Ag  0.2511  0.0049  0.8846
Ag  0.2489  0.9951  0.3846
Ag  0.2489  0.5049  0.3846
Ag  0.0670  0.7500  0.1432
Ta  0.0447  0.7500  0.6598
Ag  0.2511  0.4951  0.8846
Ag  0.7489  0.9951  0.1154
Ag  0.7511  0.0049  0.6154
Ag  0.9330  0.2500  0.8568
Ag  0.7489  0.5049  0.1154
Ag  0.7511  0.4951  0.6154
Ta  0.4553  0.2500  0.1598
Ta  0.9553  0.2500  0.3402

Computed properties:
- E_tot: -4.73 eV/atom
- D(E_F): 1.87 states/eV/f.u.
- ΔE_f: 142 kJ/mol of formula units


11.
A plane-wave DFT calculation with PBE was carried out for a geometry-optimized TlSi2Se2 structure.

Cell lengths 8.4961, 8.4961, 3.5605 Å; angles 90.00, 90.00, 90.00 degrees
Atoms (fractional coordinates):
Se  0.3455  0.1545  0.5000
Si  0.7116  0.2116  0.0000
Se  0.6545  0.8455  0.5000
Tl  0.5000  0.5000  0.0000
Se  0.8455  0.3455  0.5000
Si  0.7884  0.7116  0.0000
Tl  0.0000  0.0000  0.0000
Se  0.1545  0.6545  0.5000
Si  0.2116  0.2884  0.0000
Si  0.2884  0.7884  0.0000

Computed properties:
- E_tot: -3.89 eV/atom
- D(E_F): 1.20 states/eV/f.u.
- ΔE_f (raw): 0.76 eV per formula unit
- Polymorph energy (0 for the lowest one): 44 meV/atom


12.
A plane-wave DFT calculation with PBE was carried out for a geometry-optimized Mn3PAu structure.

Cell lengths 4.8804, 4.8804, 4.8804 Å; angles 90.00, 90.00, 90.00 degrees
Site moments in Bohr magnetons follow the coordinates.
Atoms (fractional coordinates):
Mn  0.0000  0.0000  0.5000  4.23
Mn  0.0000  0.5000  0.0000  4.05
P  0.5000  0.5000  0.5000  -0.15
Mn  0.5000  0.0000  0.0000  3.89
Au  0.0000  0.0000  0.0000  0.12

Computed properties:
- E_tot: -6.17 eV/atom
- D(E_F): 3.74 states/eV/f.u.
- ΔE_f: 515 kJ/mol of formula units
- Polymorph energy (0 for the lowest one): 553 meV/atom


> D(E_F) of number 11 (TlSi2Se2)?

1.20 states/eV/f.u.